# 1
K2In2Sb3 | PBE-GGA | relaxed

The relative energy among the computed polymorphs is 53 meV per atom. Its energy relative to the elements, uncorrected is -0.3056 eV per atom. As for the density: 4.36 g/cm³. Its total magnetization is 0.00 μB per atom.

The structure belongs to space group C2/m (No. 12); the cell edges are 19.2017, 4.8807 and 13.5269 Å and the angles 90.00°, 126.02° and 90.00°. The asymmetric unit holds K at (0.1130, 0.0000, 0.4656), K at (0.2355, 0.0000, 0.8402), In at (0.0288, 0.5000, 0.7933), In at (0.0898, 0.0000, 0.1529), Sb at (0.0743, 0.5000, 0.6222), Sb at (0.1027, 0.0000, 0.9468) and Sb at (0.1533, 0.5000, 0.2998).

# 2
ZrIrS2 | PBE-GGA | relaxed

The relative energy among the computed polymorphs is 225 meV per atom. Its energy relative to the elements, uncorrected is -0.4302 eV per atom. As for the density: 9.26 g/cm³. Its total magnetization is 0.00 μB per atom.

The structure belongs to space group Fm-3m (No. 225); the cell edges are 6.2946, 6.2946 and 6.2946 Å and the angles 90.00°, 90.00° and 90.00°. The asymmetric unit holds Zr at (0.0000, 0.0000, 0.0000), Ir at (0.0000, 0.0000, 0.5000) and S at (0.2500, 0.2500, 0.2500).

# 3
Fe2H2Au | PBE-GGA | relaxed

The total energy is -5.27 eV/atom. As for the density: 10.92 g/cm³. Its total magnetization is 0.92 μB per atom.

The structure belongs to space group I4/mmm (No. 139); the cell edges are 3.1300, 3.1300 and 9.6441 Å and the angles 90.00°, 90.00° and 90.00°. The asymmetric unit holds Fe at (0.0000, 0.0000, 0.1725), H at (0.0000, 0.5000, 0.2500) and Au at (0.0000, 0.0000, 0.5000).

# 4
Pa2Ga5Rh3 | PBE-GGA | relaxed

The relative energy among the computed polymorphs is 0 meV per atom. As for the energy of formation from the pure elements: -0.67 eV per atom. As for the density: 10.38 g/cm³. Its total magnetization is 0.00 μB per atom.

The structure belongs to space group Cmc2_1 (No. 36); the cell edges are 4.2782, 24.5650 and 6.8160 Å and the angles 90.00°, 90.00° and 90.00°. The asymmetric unit holds Pa at (0.0000, 0.0224, 0.0000), Pa at (0.0000, 0.3240, 0.0685), Ga at (0.0000, 0.1024, 0.3690), Ga at (0.0000, 0.2042, 0.8870), Ga at (0.0000, 0.2083, 0.2794), Ga at (0.0000, 0.3730, 0.5198), Ga at (0.0000, 0.4469, 0.1646), Rh at (0.0000, 0.1053, 0.7633), Rh at (0.0000, 0.2693, 0.5882) and Rh at (0.0000, 0.4518, 0.7788).

# 5
Pm5Y12Tm2 | PBE-GGA | relaxed

The relative energy among the computed polymorphs is 0 meV per atom. As for the energy of formation from the pure elements: 0.02 eV per atom. As for the density: 5.73 g/cm³. Its total magnetization is 0.00 μB per atom.

The structure belongs to space group P-1 (No. 2); the cell edges are 6.2036, 9.4853 and 11.3174 Å and the angles 90.06°, 100.53° and 109.06°. The asymmetric unit holds Pm at (0.0000, 0.0000, 0.0000), Pm at (0.2611, 0.8398, 0.5261), Pm at (0.4726, 0.3164, 0.9477), Y at (0.0533, 0.3689, 0.1067), Y at (0.1049, 0.7352, 0.2117), Y at (0.1580, 0.1067, 0.3168), Y at (0.3183, 0.2123, 0.6308), Y at (0.3684, 0.5786, 0.7349), Y at (0.4214, 0.9476, 0.8416) and Tm at (0.2104, 0.4741, 0.4222).

# 6
NdScAlGa | PBE-GGA | relaxed

As for the energy of formation from the pure elements: -0.45 eV per atom. As for the density: 5.29 g/cm³. Its total magnetization is 0.00 μB per atom.

The structure belongs to space group F-43m (No. 216); the cell edges are 7.1060, 7.1060 and 7.1060 Å and the angles 90.00°, 90.00° and 90.00°. The asymmetric unit holds Nd at (0.0000, 0.0000, 0.0000), Sc at (0.0000, 0.0000, 0.5000), Al at (0.2500, 0.2500, 0.7500) and Ga at (0.2500, 0.2500, 0.2500).

# 7
BeAlCo2 | PBE-GGA | relaxed

As for the energy of formation from the pure elements: 0.25 eV per atom. As for the density: 5.23 g/cm³. Its total magnetization is 0.54 μB per atom.

The structure belongs to space group I-42d (No. 122); the cell edges are 3.5000, 3.5000 and 15.9400 Å and the angles 90.00°, 90.00° and 90.00°. The asymmetric unit holds Be at (0.0000, 0.0000, 0.0000), Al at (0.0000, 0.0000, 0.5000) and Co at (0.1980, 0.2500, 0.1250).

# 8
LiSi2BMo | PBE-GGA | relaxed

The relative energy among the computed polymorphs is 0 meV per atom. Its energy relative to the elements, uncorrected is 1.3151 eV per atom. As for the density: 4.39 g/cm³. Its total magnetization is 0.00 μB per atom.

The structure belongs to space group P4/mmm (No. 123); the cell edges are 4.2451, 4.2451 and 3.5643 Å and the angles 90.00°, 90.00° and 90.00°. The asymmetric unit holds Li at (0.0000, 0.0000, 0.0000), Si at (0.0000, 0.5000, 0.0000), B at (0.0000, 0.0000, 0.5000) and Mo at (0.5000, 0.5000, 0.5000).

# 9
Zr4AlTc | PBE-GGA | relaxed

The relative energy among the computed polymorphs is 708 meV per atom. As for the energy of formation from the pure elements: 0.44 eV per atom. As for the density: 6.55 g/cm³. Its total magnetization is 0.00 μB per atom.

The structure belongs to space group F-43m (No. 216); the cell edges are 7.9181, 7.9181 and 7.9181 Å and the angles 90.00°, 90.00° and 90.00°. The asymmetric unit holds Zr at (0.1236, 0.1236, 0.3764), Al at (0.0000, 0.0000, 0.0000) and Tc at (0.2500, 0.2500, 0.7500).

# 10
Dy3MgP | PBE-GGA | relaxed

As for the energy of formation from the pure elements: -0.48 eV per atom. As for the density: 5.99 g/cm³. Its total magnetization is 0.00 μB per atom.

The structure belongs to space group Pm-3m (No. 221); the cell edges are 5.3184, 5.3184 and 5.3184 Å and the angles 90.00°, 90.00° and 90.00°. The asymmetric unit holds Dy at (0.0000, 0.0000, 0.5000), Mg at (0.5000, 0.5000, 0.5000) and P at (0.0000, 0.0000, 0.0000).

# 11
Co3Br | PBE-GGA | relaxed

The relative energy among the computed polymorphs is 239 meV per atom. Its energy relative to the elements, uncorrected is 0.5534 eV per atom. As for the density: 6.55 g/cm³. Its total magnetization is 1.48 μB per atom.

The structure belongs to space group P-6m2 (No. 187); the cell edges are 3.4804, 3.4804 and 6.1998 Å and the angles 90.00°, 90.00° and 120.00°. The asymmetric unit holds Co at (0.0000, 0.0000, 0.0000), Co at (0.6667, 0.3333, 0.1924) and Br at (0.0000, 0.0000, 0.5000).

# 12
FeNi2Ir | PBE-GGA | relaxed

As for the energy of formation from the pure elements: 0.04 eV per atom. As for the density: 12.46 g/cm³. Its total magnetization is 0.92 μB per atom.

The structure belongs to space group P4mm (No. 99); the cell edges are 3.0053, 3.0053 and 5.3940 Å and the angles 90.00°, 90.00° and 90.00°. The asymmetric unit holds Fe at (0.0000, 0.0000, 0.0000), Ni at (0.0000, 0.0000, 0.5354), Ni at (0.5000, 0.5000, 0.7679) and Ir at (0.5000, 0.5000, 0.2727).

# 13
Ti5Ga6Tc | PBE-GGA | relaxed

As for the energy of formation from the pure elements: -0.41 eV per atom. As for the density: 6.76 g/cm³. Its total magnetization is 0.00 μB per atom.

The structure belongs to space group Immm (No. 71); the cell edges are 3.9676, 7.9556 and 11.7586 Å and the angles 90.00°, 90.00° and 90.00°. The asymmetric unit holds Ti at (0.0000, 0.0000, 0.0000), Ti at (0.0000, 0.0000, 0.3386), Ti at (0.0000, 0.5000, 0.3353), Ga at (0.0000, 0.2494, 0.5000), Ga at (0.0000, 0.2501, 0.1667) and Tc at (0.0000, 0.5000, 0.0000).

# 14
Pm5Y12Th2 | PBE-GGA | relaxed

The relative energy among the computed polymorphs is 116 meV per atom. As for the energy of formation from the pure elements: 0.14 eV per atom. As for the density: 5.80 g/cm³. Its total magnetization is 0.00 μB per atom.

The structure belongs to space group C2/m (No. 12); the cell edges are 15.6232, 9.4928 and 8.7184 Å and the angles 90.00°, 92.41° and 90.00°. The asymmetric unit holds Pm at (0.0000, 0.0000, 0.0000), Pm at (0.2019, 0.5000, 0.5217), Pm at (0.2307, 0.0000, 0.0705), Y at (0.0580, 0.5000, 0.8293), Y at (0.0748, 0.0000, 0.3761), Y at (0.1285, 0.3093, 0.1652), Y at (0.1478, 0.1778, 0.7395) and Th at (0.0000, 0.3284, 0.5000).

# 15
CaTc2I4 | PBE-GGA | relaxed

Its energy relative to the elements, uncorrected is 0.0674 eV per atom. As for the density: 4.62 g/cm³. Its total magnetization is 0.36 μB per atom.

The structure belongs to space group I4/mmm (No. 139); the cell edges are 6.2265, 6.2265 and 13.7992 Å and the angles 90.00°, 90.00° and 90.00°. The asymmetric unit holds Ca at (0.0000, 0.0000, 0.0000), Tc at (0.0000, 0.0000, 0.4258), I at (0.0000, 0.0000, 0.2217) and I at (0.0000, 0.5000, 0.0000).

# 16
LaZnBr6 | PBE-GGA | relaxed

Its energy relative to the elements, uncorrected is -1.1185 eV per atom. As for the density: 4.13 g/cm³. Its total magnetization is 0.13 μB per atom.

The structure belongs to space group P-1 (No. 2); the cell edges are 6.9913, 7.1583 and 7.2488 Å and the angles 113.51°, 94.67° and 118.53°. The asymmetric unit holds La at (0.0000, 0.0000, 0.0000), Zn at (0.5000, 0.0000, 0.5000), Br at (0.0737, 0.5072, 0.1978), Br at (0.2597, 0.1232, 0.7302) and Br at (0.4503, 0.1884, 0.2940).

# 17
KNF2 | PBE-GGA | relaxed

The relative energy among the computed polymorphs is 345 meV per atom. Its energy relative to the elements, uncorrected is -0.2566 eV per atom. As for the density: 2.15 g/cm³. Its total magnetization is 0.50 μB per atom.

The structure belongs to space group I-42d (No. 122); the cell edges are 4.7163, 4.7163 and 12.6625 Å and the angles 90.00°, 90.00° and 90.00°. The asymmetric unit holds K at (0.0000, 0.0000, 0.0000), N at (0.0000, 0.0000, 0.5000) and F at (0.1377, 0.2500, 0.6250).

# 18
LaZr2Zn | PBE-GGA | relaxed

As for the energy of formation from the pure elements: 0.18 eV per atom. As for the density: 6.16 g/cm³. Its total magnetization is 0.22 μB per atom.

The structure belongs to space group R3m (No. 160, hexagonal axes); the cell edges are 4.7569, 4.7569 and 15.9600 Å and the angles 90.00°, 90.00° and 120.00°. The asymmetric unit holds La at (0.0000, 0.0000, 0.0000), Zr at (0.0000, 0.0000, 0.5434), Zr at (0.0000, 0.0000, 0.7869) and Zn at (0.0000, 0.0000, 0.1978).

# 19
Tm12Pt3N5 | PBE-GGA | relaxed

Its energy relative to the elements, uncorrected is -1.1703 eV per atom. As for the density: 10.54 g/cm³. Its total magnetization is 0.00 μB per atom.

The structure belongs to space group Ia-3d (No. 230); the cell edges are 15.0074, 15.0074 and 15.0074 Å and the angles 90.00°, 90.00° and 90.00°. The asymmetric unit holds Tm at (0.0319, 0.0538, 0.6509), Pt at (0.0000, 0.2500, 0.1250), N at (0.0000, 0.0000, 0.0000) and N at (0.0000, 0.2500, 0.3750).

# 20
Cd2Ni6HN | PBE-GGA | relaxed

The total energy is -4.86 eV/atom. As for the density: 8.88 g/cm³. Its total magnetization is 0.00 μB per atom.

The structure belongs to space group I4/mmm (No. 139); the cell edges are 5.4005, 5.4005 and 7.5914 Å and the angles 90.00°, 90.00° and 90.00°. The asymmetric unit holds Cd at (0.0000, 0.5000, 0.2500), Ni at (0.0000, 0.0000, 0.2490), Ni at (0.2499, 0.2499, 0.0000), H at (0.0000, 0.0000, 0.0000) and N at (0.0000, 0.0000, 0.5000).